{
  "formula": "BeZnW",
  "functional": "GGA-PBE",
  "state": "optimized geometry",
  "spacegroup": "I4mm (107)",
  "cell": [[5.745, -0.021, 0.000], [4.507, 3.563, 0.000], [-5.126, -1.771, 1.896]],
  "species": ["Zn", "W", "Be"],
  "frac_coords": [[0.651, 0.651, 0.000], [0.344, 0.344, 0.000], [0.005, 0.005, 0.000]]
}

---

{
  "formula": "BeZn2W",
  "functional": "GGA-PBE",
  "state": "optimized geometry",
  "spacegroup": "I-42d (122)",
  "cell": [[3.506, 0.000, 0.000], [0.000, 3.506, 0.000], [1.753, 1.753, 9.203]],
  "species": ["Be", "Be", "Zn", "Zn", "Zn", "Zn", "W", "W"],
  "frac_coords": [[0.250, 0.750, 0.500], [0.500, 0.500, 0.000], [0.132, 0.625, 0.250], [0.375, 0.382, 0.750], [0.875, 0.868, 0.750], [0.618, 0.125, 0.250], [0.750, 0.250, 0.500], [0.000, 0.000, 0.000]]
}

---

{
  "formula": "BeZn2W",
  "functional": "GGA-PBE",
  "state": "optimized geometry",
  "spacegroup": "P4/mmm (123)",
  "cell": [[2.652, 0.232, 0.000], [-0.233, 2.652, 0.000], [0.000, 0.000, 7.511]],
  "species": ["Zn", "Zn", "W", "Be"],
  "frac_coords": [[0.000, 0.000, 0.468], [0.000, 0.000, 0.032], [0.500, 0.500, 0.750], [0.500, 0.500, 0.250]]
}

---

no.,V (Å³/cell),ΔE_f (eV per atom)
1,38.99,0.244
2,113.11,0.589
3,53.22,0.270